DFT (GGA+U) results for a relaxed K4VO4 crystal.

Output
- total energy (eV for the cell shown) = -93.3

Cell lengths 6.0100, 7.4903, 7.4903 Å; angles 90.00, 90.00, 90.00 degrees
Closest atoms and distances in Å follow each position.
Positions (direct):
O1 0.8304 0.7949 0.0000  1 V 1.84
K1 0.6187 0.9999 0.7161  5 O 2.76-2.92
K2 0.1187 0.7839 0.4999  5 O 2.76-2.92
K3 0.3813 0.2839 0.9999  5 O 2.76-2.92
O2 0.6696 0.2949 0.5000  1 V 1.84
O3 0.8304 0.2051 0.0000  1 V 1.84
K4 0.8813 0.4999 0.2161  5 O 2.76-2.92
O4 0.6696 0.7051 0.5000  1 V 1.84
K5 0.1187 0.2161 0.5001  5 O 2.76-2.92
V1 0.5000 0.5000 0.5000  4 O 1.84
O5 0.1696 0.0000 0.2051  1 V 1.84
K6 0.6187 0.0001 0.2839  5 O 2.76-2.92
O6 0.3304 0.5000 0.7051  1 V 1.84
O7 0.1696 0.0000 0.7949  1 V 1.84
V2 0.0000 0.0000 0.0000  4 O 1.84
O8 0.3304 0.5000 0.2949  1 V 1.84
K7 0.8813 0.5001 0.7839  5 O 2.76-2.92
K8 0.3813 0.7161 0.0001  5 O 2.76-2.92